{"formula": "RbHoCdCl6", "functional": "PBE", "state": "optimized geometry", "formation_energy_uncorrected_mev_per_atom": -1850, "cell": [[6.9533, 0.0000, 0.0000], [-3.4766, 6.0217, 0.0000], [0.0000, 0.0000, 14.5280]], "species": ["Rb", "Rb", "Ho", "Ho", "Cd", "Cd", "Cl", "Cl", "Cl", "Cl", "Cl", "Cl", "Cl", "Cl", "Cl", "Cl", "Cl", "Cl"], "fractional_positions": [[0.0000, 0.0000, 0.0000], [0.0000, 0.0000, 0.5000], [0.3333, 0.6667, 0.2500], [0.6667, 0.3333, 0.7500], [0.3333, 0.6667, 0.7500], [0.6667, 0.3333, 0.2500], [0.0029, 0.3787, 0.1451], [0.0029, 0.6242, 0.3549], [0.3758, 0.3787, 0.3549], [0.3758, 0.9971, 0.1451], [0.3787, 0.0029, 0.6451], [0.3787, 0.3758, 0.8549], [0.6213, 0.6242, 0.1451], [0.6213, 0.9971, 0.3549], [0.6242, 0.0029, 0.8549], [0.6242, 0.6213, 0.6451], [0.9971, 0.3758, 0.6451], [0.9971, 0.6213, 0.8549]]}



{"formula": "HoTlCdCl6", "functional": "PBE", "state": "optimized geometry", "formation_energy_uncorrected_mev_per_atom": -1626, "cell": [[6.9390, 0.0000, 0.0000], [-3.4695, 6.0093, 0.0000], [0.0000, 0.0000, 14.0368]], "species": ["Ho", "Ho", "Tl", "Tl", "Cd", "Cd", "Cl", "Cl", "Cl", "Cl", "Cl", "Cl", "Cl", "Cl", "Cl", "Cl", "Cl", "Cl"], "fractional_positions": [[0.3333, 0.6667, 0.2500], [0.6667, 0.3333, 0.7500], [0.0000, 0.0000, 0.0000], [0.0000, 0.0000, 0.5000], [0.3333, 0.6667, 0.7500], [0.6667, 0.3333, 0.2500], [0.0029, 0.3749, 0.1421], [0.0029, 0.6280, 0.3579], [0.3720, 0.3749, 0.3579], [0.3720, 0.9971, 0.1421], [0.3749, 0.0029, 0.6421], [0.3749, 0.3720, 0.8579], [0.6251, 0.6280, 0.1421], [0.6251, 0.9971, 0.3579], [0.6280, 0.0029, 0.8579], [0.6280, 0.6251, 0.6421], [0.9971, 0.3720, 0.6421], [0.9971, 0.6251, 0.8579]]}